Material: La2Al7Zn
Method: DFT, PBE
State: relaxed

## Properties
* space group: P-4m2, No. 115
* V: 21.09 Å³/atom
* formation energy: -0.374 eV/atom

a = 4.3709 Å, b = 4.3709 Å, c = 11.0381 Å
α = 90.00°, β = 90.00°, γ = 90.00°
Element x y z (fractional)
Al  0.5000  0.0000  0.3627
Zn  0.5000  0.5000  0.0000
La  0.5000  0.0000  0.7518
Al  0.0000  0.0000  0.5000
La  0.0000  0.5000  0.2482
Al  0.0000  0.0000  0.0000
Al  0.5000  0.0000  0.1310
Al  0.5000  0.5000  0.5000
Al  0.0000  0.5000  0.6373
Al  0.0000  0.5000  0.8690